(1)
Here is crystalline La8Tb2Dy3 at its relaxed geometry from Alexandria via LeMat-Bulk. Energies are from PBE.

abc: 5.843 7.746 11.015
angles: 110.59 90.03 90.00
Atoms (fractional coordinates):
La (0.500, 0.805, 0.210)
La (0.001, 0.675, 0.350)
La (0.999, 0.131, 0.262)
La (0.500, 0.595, 0.790)
La (0.500, 0.405, 0.210)
La (0.999, 0.325, 0.650)
La (0.001, 0.869, 0.738)
La (0.500, 0.195, 0.790)
Tb (0.499, 0.240, 0.480)
Tb (0.501, 0.760, 0.520)
Dy (0.000, 0.717, 0.000)
Dy (0.500, 0.000, 0.000)
Dy (0.000, 0.283, 0.000)

Calculated values
- Energy above the lowest structure with this stoichiometry: 3.41 kJ per mole of atoms
- V: 35.91 Å³ per atom



(2)
Here is crystalline Rb5Au2I at its relaxed geometry from Alexandria via LeMat-Bulk. Energies are from PBE.

abc: 9.354 9.354 10.900
angles: 115.41 115.41 90.00
Atoms (fractional coordinates):
Rb (0.000, 0.000, 0.000)
Rb (0.500, 0.500, 0.000)
Rb (0.037, 0.537, 0.731)
Rb (0.463, 0.307, 0.269)
Rb (0.693, 0.193, 0.731)
Rb (0.307, 0.807, 0.269)
Rb (0.537, 0.693, 0.731)
Rb (0.807, 0.963, 0.269)
Rb (0.963, 0.463, 0.269)
Rb (0.193, 0.037, 0.731)
Au (0.111, 0.389, 0.000)
Au (0.611, 0.111, 0.000)
Au (0.889, 0.611, 0.000)
Au (0.389, 0.889, 0.000)
I (0.750, 0.750, 0.500)
I (0.250, 0.250, 0.500)

Calculated values
- V: 47.38 Å³ per atom
- Energy relative to the elements, uncorrected: -0.486 eV/atom



(3)
Here is crystalline Sn2PBr at its relaxed geometry from Alexandria via LeMat-Bulk. Energies are from PBE.

abc: 5.172 5.172 5.172
angles: 60.00 60.00 60.00
Atoms (fractional coordinates):
Sn (0.250, 0.250, 0.250)
Sn (0.750, 0.750, 0.750)
Br (0.500, 0.500, 0.500)
P (0.000, 0.000, 0.000)

Calculated values
- Energy above the lowest structure with this stoichiometry: 30.99 kJ per mole of atoms
- V: 24.46 Å³ per atom
- Energy relative to the elements, uncorrected: 0.077 eV/atom



(4)
Here is crystalline SrTcNi2 at its relaxed geometry from Alexandria via LeMat-Bulk. Energies are from PBE.

abc: 4.823 4.823 2.781
angles: 90.00 90.00 90.00
Last column: magnetic moment on the atom in μB.
Atoms (fractional coordinates):
Tc (0.000, 0.500, 0.500)  0.81
Ni (0.000, 0.000, 0.000)  0.21
Ni (0.500, 0.500, 0.000)  0.21
Sr (0.500, 0.000, 0.500)  -0.02

Calculated values
- Energy above the lowest structure with this stoichiometry: 40.02 kJ per mole of atoms
- V: 16.17 Å³ per atom